1.
# Ba2TaCd | the Alexandria database | GGA-PBE | optimized geometry
data_Ba2TaCd
_cell_length_a 3.480
_cell_length_b 3.480
_cell_length_c 10.612
_cell_angle_alpha 90.00
_cell_angle_beta 90.00
_cell_angle_gamma 90.00
_space_group_name_H-M_alt 'P 1'
_space_group_IT_number 1
loop_
_space_group_symop_operation_xyz
'x,y,z'
loop_
_atom_site_label
_atom_site_type_symbol
_atom_site_fract_x
_atom_site_fract_y
_atom_site_fract_z
_atom_site_occupancy
Cd1 Cd 0.500 0.500 0.250 1
Ba1 Ba 0.000 0.000 0.991 1
Ba2 Ba 0.000 0.000 0.509 1
Ta1 Ta 0.500 0.500 0.750 1
# - DOS(E_F) (states/eV/f.u.) = 4.4
# - E above lowest polymorph (eV/atom) = 0.091
# - total DFT energy (no corrections) (eV per atom) = -3.476

---

2.
# Ba4TbCd5 | the Alexandria database | GGA-PBE | optimized geometry
data_Ba4TbCd5
_cell_length_a 4.096
_cell_length_b 4.096
_cell_length_c 21.213
_cell_angle_alpha 90.00
_cell_angle_beta 90.00
_cell_angle_gamma 90.00
_space_group_name_H-M_alt 'P 1'
_space_group_IT_number 1
loop_
_space_group_symop_operation_xyz
'x,y,z'
loop_
_atom_site_label
_atom_site_type_symbol
_atom_site_fract_x
_atom_site_fract_y
_atom_site_fract_z
_atom_site_occupancy
Ba1 Ba 0.000 0.000 0.185 1
Ba2 Ba 0.000 0.000 0.395 1
Ba3 Ba 0.000 0.000 0.605 1
Ba4 Ba 0.000 0.000 0.815 1
Tb1 Tb 0.000 0.000 0.000 1
Cd1 Cd 0.500 0.500 0.076 1
Cd2 Cd 0.500 0.500 0.291 1
Cd3 Cd 0.500 0.500 0.500 1
Cd4 Cd 0.500 0.500 0.709 1
Cd5 Cd 0.500 0.500 0.924 1
# - DOS(E_F) (states/eV/f.u.) = 5.6
# - total DFT energy (no corrections) (eV per atom) = -1.990

---

3.
# BaTb2Cd | the Alexandria database | GGA-PBE | optimized geometry
data_BaTb2Cd
_cell_length_a 3.647
_cell_length_b 3.647
_cell_length_c 12.361
_cell_angle_alpha 81.52
_cell_angle_beta 81.52
_cell_angle_gamma 60.00
_space_group_name_H-M_alt 'P 1'
_space_group_IT_number 1
loop_
_space_group_symop_operation_xyz
'x,y,z'
loop_
_atom_site_label
_atom_site_type_symbol
_atom_site_fract_x
_atom_site_fract_y
_atom_site_fract_z
_atom_site_occupancy
Tb1 Tb 0.100 0.100 0.699 1
Tb2 Tb 0.900 0.900 0.301 1
Ba1 Ba 0.000 0.000 0.000 1
Cd1 Cd 0.500 0.500 0.500 1
# - DOS(E_F) (states/eV/f.u.) = 5.2
# - E above lowest polymorph (eV/atom) = 0.175
# - total DFT energy (no corrections) (eV per atom) = -2.856

---

4.
# BaTbCd | the Alexandria database | GGA-PBE | optimized geometry
data_BaTbCd
_cell_length_a 3.984
_cell_length_b 3.984
_cell_length_c 7.461
_cell_angle_alpha 105.48
_cell_angle_beta 105.48
_cell_angle_gamma 90.00
_space_group_name_H-M_alt 'P 1'
_space_group_IT_number 1
loop_
_space_group_symop_operation_xyz
'x,y,z'
loop_
_atom_site_label
_atom_site_type_symbol
_atom_site_fract_x
_atom_site_fract_y
_atom_site_fract_z
_atom_site_occupancy
Tb1 Tb 0.295 0.295 0.591 1
Ba1 Ba 0.015 0.015 0.029 1
Cd1 Cd 0.690 0.690 0.380 1
# - DOS(E_F) (states/eV/f.u.) = 3.0
# - total DFT energy (no corrections) (eV per atom) = -2.594

---

5.
# BaTbCd4 | the Alexandria database | GGA-PBE | optimized geometry
data_BaTbCd4
_cell_length_a 5.028
_cell_length_b 5.028
_cell_length_c 8.144
_cell_angle_alpha 90.00
_cell_angle_beta 90.00
_cell_angle_gamma 120.00
_space_group_name_H-M_alt 'P 1'
_space_group_IT_number 1
loop_
_space_group_symop_operation_xyz
'x,y,z'
loop_
_atom_site_label
_atom_site_type_symbol
_atom_site_fract_x
_atom_site_fract_y
_atom_site_fract_z
_atom_site_occupancy
Ba1 Ba 0.000 0.000 0.500 1
Tb1 Tb 0.000 0.000 0.000 1
Cd1 Cd 0.333 0.667 0.194 1
Cd2 Cd 0.333 0.667 0.806 1
Cd3 Cd 0.667 0.333 0.194 1
Cd4 Cd 0.667 0.333 0.806 1
# - DOS(E_F) (states/eV/f.u.) = 5.6
# - E above lowest polymorph (eV/atom) = 0.000
# - total DFT energy (no corrections) (eV per atom) = -2.030

---

6.
# BaTbCd2 | the Alexandria database | GGA-PBE | optimized geometry
data_BaTbCd2
_cell_length_a 3.903
_cell_length_b 3.903
_cell_length_c 10.512
_cell_angle_alpha 79.30
_cell_angle_beta 79.30
_cell_angle_gamma 60.00
_space_group_name_H-M_alt 'P 1'
_space_group_IT_number 1
loop_
_space_group_symop_operation_xyz
'x,y,z'
loop_
_atom_site_label
_atom_site_type_symbol
_atom_site_fract_x
_atom_site_fract_y
_atom_site_fract_z
_atom_site_occupancy
Tb1 Tb 0.000 0.000 0.000 1
Ba1 Ba 0.500 0.500 0.500 1
Cd1 Cd 0.741 0.741 0.776 1
Cd2 Cd 0.259 0.259 0.224 1
# - DOS(E_F) (states/eV/f.u.) = 4.3
# - total DFT energy (no corrections) (eV per atom) = -2.157